# 1
# Sc3Al PBEsol relaxed
# ΔE_f = -4.097 kcal/mol of atoms
# total moment = 0.00 Bohr magnetons per cell
data_Sc3Al
_chemical_formula_sum 'Sc3 Al1'
_cell_length_a 3.1985
_cell_length_b 4.3165
_cell_length_c 6.1347
_cell_angle_alpha 90.00
_cell_angle_beta 90.00
_cell_angle_gamma 90.00
_space_group_name_H-M_alt 'P m m m'
_space_group_IT_number 47
_space_group_name_Hall '-P 2 2'
loop_
_atom_site_label
_atom_site_type_symbol
_atom_site_fract_x
_atom_site_fract_y
_atom_site_fract_z
_atom_site_occupancy
Sc1 Sc 0.0000 0.0000 0.0000 1
Sc2 Sc 0.5000 0.5000 0.2572 1
Al1 Al 0.0000 0.0000 0.5000 1

# 2
# Sc7Al PBEsol relaxed
# ΔE_f = -1.530 kcal/mol of atoms
# total moment = 0.00 Bohr magnetons per cell
data_Sc7Al
_chemical_formula_sum 'Sc28 Al4'
_cell_length_a 8.9379
_cell_length_b 8.9379
_cell_length_c 8.9379
_cell_angle_alpha 90.00
_cell_angle_beta 90.00
_cell_angle_gamma 90.00
_space_group_name_H-M_alt 'F m -3 m'
_space_group_IT_number 225
_space_group_name_Hall '-F 4 2 3'
loop_
_atom_site_label
_atom_site_type_symbol
_atom_site_fract_x
_atom_site_fract_y
_atom_site_fract_z
_atom_site_occupancy
Sc1 Sc 0.0000 0.0000 0.0000 1
Sc2 Sc 0.0000 0.2500 0.2500 1
Al1 Al 0.0000 0.0000 0.5000 1

# 3
# Sc2Al PBEsol relaxed
# ΔE_f = -6.435 kcal/mol of atoms
# total moment = 0.00 Bohr magnetons per cell
data_Sc2Al
_chemical_formula_sum 'Sc8 Al4'
_cell_length_a 4.3734
_cell_length_b 13.4333
_cell_length_c 4.1618
_cell_angle_alpha 90.00
_cell_angle_beta 90.00
_cell_angle_gamma 90.00
_space_group_name_H-M_alt 'C m m m'
_space_group_IT_number 65
_space_group_name_Hall '-C 2 2'
loop_
_atom_site_label
_atom_site_type_symbol
_atom_site_fract_x
_atom_site_fract_y
_atom_site_fract_z
_atom_site_occupancy
Sc1 Sc 0.0000 0.0000 0.0000 1
Sc2 Sc 0.0000 0.1704 0.5000 1
Sc3 Sc 0.0000 0.5000 0.5000 1
Al1 Al 0.0000 0.3370 0.0000 1

# 4
# ScAl3 PBEsol relaxed
# ΔE_f = -6.574 kcal/mol of atoms
# total moment = 0.00 Bohr magnetons per cell
data_ScAl3
_chemical_formula_sum 'Sc2 Al6'
_cell_length_a 5.6860
_cell_length_b 8.2345
_cell_length_c 3.0111
_cell_angle_alpha 90.00
_cell_angle_beta 90.00
_cell_angle_gamma 90.00
_space_group_name_H-M_alt 'C m m m'
_space_group_IT_number 65
_space_group_name_Hall '-C 2 2'
loop_
_atom_site_label
_atom_site_type_symbol
_atom_site_fract_x
_atom_site_fract_y
_atom_site_fract_z
_atom_site_occupancy
Sc1 Sc 0.0000 0.0000 0.0000 1
Al1 Al 0.0000 0.5000 0.0000 1
Al2 Al 0.2500 0.2500 0.5000 1

Record-wise E_tot values, in eV/atom: -6.15 -6.36 -6.05 -5.00